# BaInAgS3 (PBE, relaxed)
# Formation energy from raw total energies, eV per atom: -0.830
# Theoretical density, g/cm3: 4.478
# Size of the total moment, μB per formula unit: 0.000
# Volume, A^3/atom: 28.192
data_BaInAgS3
_chemical_formula_sum 'Ba4 In4 Ag4 S12'
_cell_length_a 11.510
_cell_length_b 7.902
_cell_length_c 8.146
_cell_angle_alpha 90.00
_cell_angle_beta 114.03
_cell_angle_gamma 90.00
_symmetry_space_group_name_H-M 'C 1 2/m 1'
_symmetry_Int_Tables_number 12
loop_
_symmetry_equiv_pos_as_xyz
'x,y,z'
'-x,-y,-z'
'-x,y,-z'
'x,-y,z'
'x+1/2,y+1/2,z'
'-x+1/2,-y+1/2,-z'
'-x+1/2,y+1/2,-z'
'x+1/2,-y+1/2,z'
loop_
_atom_site_label
_atom_site_fract_x
_atom_site_fract_y
_atom_site_fract_z
Ba1 0.202 0.000 0.173
In1 0.072 0.500 0.249
Ag1 0.000 0.203 0.500
S1 0.065 0.252 0.827
S2 0.210 0.000 0.558